Record 1
A relaxed structure of ZrGaCuIr, computed with GGA-PBE.

Cell lengths 6.3549, 6.3549, 6.3549 Å; angles 90.00, 90.00, 90.00 degrees
Fractional positions:
1 Zr 0.0000 0.0000 0.0000
2 Zr 0.0000 0.5000 0.5000
3 Zr 0.5000 0.0000 0.5000
4 Zr 0.5000 0.5000 0.0000
5 Ga 0.2500 0.2500 0.2500
6 Ga 0.2500 0.7500 0.7500
7 Ga 0.7500 0.2500 0.7500
8 Ga 0.7500 0.7500 0.2500
9 Cu 0.0000 0.0000 0.5000
10 Cu 0.0000 0.5000 0.0000
11 Cu 0.5000 0.0000 0.0000
12 Cu 0.5000 0.5000 0.5000
13 Ir 0.2500 0.2500 0.7500
14 Ir 0.2500 0.7500 0.2500
15 Ir 0.7500 0.2500 0.2500
16 Ir 0.7500 0.7500 0.7500

Properties
- SG = F-43m, No. 216
- E (eV per cell) = -101.751
- M_tot (μB/atom) = 0.000


Record 2
A relaxed structure of AlB4Os, computed with GGA-PBE.

Cell lengths 2.9811, 5.1793, 6.7012 Å; angles 90.00, 90.00, 90.00 degrees
Fractional positions:
1 Al 0.0000 0.0000 0.0000
2 Al 0.5000 0.5000 0.5000
3 B 0.0000 0.3336 0.2600
4 B 0.0000 0.3336 0.7400
5 B 0.0000 0.6664 0.2600
6 B 0.0000 0.6664 0.7400
7 B 0.5000 0.1664 0.2400
8 B 0.5000 0.1664 0.7600
9 B 0.5000 0.8336 0.2400
10 B 0.5000 0.8336 0.7600
11 Os 0.0000 0.0000 0.5000
12 Os 0.5000 0.5000 0.0000

Properties
- SG = Immm, No. 71
- E (eV per cell) = -81.648
- M_tot (μB/atom) = 0.001


Record 3
A relaxed structure of Hg3Pt2, computed with GGA-PBE.

Cell lengths 7.2330, 7.2330, 3.8126 Å; angles 90.00, 90.00, 90.00 degrees
Fractional positions:
1 Hg 0.0000 0.0000 0.0000
2 Hg 0.1644 0.3356 0.5000
3 Hg 0.3356 0.8356 0.5000
4 Hg 0.5000 0.5000 0.0000
5 Hg 0.6644 0.1644 0.5000
6 Hg 0.8356 0.6644 0.5000
7 Pt 0.1353 0.6353 0.0000
8 Pt 0.3647 0.1353 0.0000
9 Pt 0.6353 0.8647 0.0000
10 Pt 0.8647 0.3647 0.0000

Properties
- SG = P4/mbm, No. 127
- E (eV per cell) = -25.823
- M_tot (μB/atom) = 0.000


- Which formula does entry 2 have?
  AlB4Os